<A>
DFT (PBE-GGA) results for a relaxed structure of Na3ZrTi.

```
5
Lattice="5.745 0.000 0.000 0.000 5.745 0.000 0.000 0.000 5.745" Properties=species:S:1:pos:R:3 pbc="T T T"
Ti 2.872 2.872 2.872
Na 0.000 2.872 0.000
Na 0.000 0.000 2.872
Na 2.872 0.000 0.000
Zr 0.000 0.000 0.000
```

Values from the calculation:
Spin magnetization: 3.7 Bohr magnetons per cell
DOS at the Fermi energy: 2.890 states/eV/atom



<B>
DFT (PBE-GGA) results for a relaxed structure of Na3ZrTi.

```
5
Lattice="5.355 0.000 0.000 0.000 5.355 0.000 0.000 0.000 5.355" Properties=species:S:1:pos:R:3 pbc="T T T"
Na 2.678 0.000 0.000
Na 0.000 0.000 2.678
Na 0.000 2.678 0.000
Zr 2.678 2.678 2.678
Ti 0.000 0.000 0.000
```

Values from the calculation:
Spin magnetization: 1.0 Bohr magnetons per cell
DOS at the Fermi energy: 1.346 states/eV/atom



<B> (27.5 kJ/mol of atoms below the next structure)



<A>
DFT (PBE-GGA) results for a relaxed structure of Na2ZrTi.

```
4
Lattice="2.842 -1.003 4.108 -1.943 0.656 4.664 -1.065 -4.046 2.908" Properties=species:S:1:pos:R:3 pbc="T T T"
Na -0.124 -3.295 8.760
Na -0.041 -1.098 2.920
Zr -0.083 -2.197 5.840
Ti 0.000 0.000 0.000
```

Values from the calculation:
Spin magnetization: 0.9 Bohr magnetons per cell
DOS at the Fermi energy: 1.508 states/eV/atom



<B>
DFT (PBE-GGA) results for a relaxed structure of Na2ZrTi.

```
8
Lattice="-2.614 5.007 -6.328 -7.516 0.910 3.825 -4.149 5.075 0.045" Properties=species:S:1:pos:R:3 pbc="T T T"
Zr 0.000 0.000 0.000
Zr -5.914 6.521 -3.767
Na -7.019 6.038 -0.850
Na -3.573 4.440 -3.374
Na -11.867 8.971 -2.211
Na -6.099 2.536 1.520
Ti -5.065 2.959 -1.251
Ti -8.365 4.472 1.309
```

Values from the calculation:
Spin magnetization: 0.0 Bohr magnetons per cell
DOS at the Fermi energy: 1.022 states/eV/atom



<B> (5.7 kJ/mol of atoms below the next structure)



<A>
DFT (PBE-GGA) results for a relaxed structure of Na2Tl3.

```
10
Lattice="-7.815 -0.857 4.954 0.392 -0.314 9.279 -2.810 3.524 4.891" Properties=species:S:1:pos:R:3 pbc="T T T"
Na -4.992 -0.276 9.508
Na -2.686 2.071 4.837
Na -7.547 0.283 14.288
Na -5.241 2.630 9.616
Tl -7.801 1.866 11.352
Tl -4.812 0.100 12.666
Tl -2.379 2.346 10.986
Tl -5.421 2.254 6.458
Tl -2.432 0.487 7.773
Tl -7.853 0.008 8.138
```

Values from the calculation:
Spin magnetization: 0.0 Bohr magnetons per cell
DOS at the Fermi energy: 0.454 states/eV/atom



<B>
DFT (PBE-GGA) results for a relaxed structure of Na2Tl3.

```
10
Lattice="6.558 0.000 0.000 -3.279 5.381 0.000 0.000 0.000 8.968" Properties=species:S:1:pos:R:3 pbc="T T T"
Na 0.000 4.003 0.900
Na 3.279 4.003 3.584
Na 3.279 1.378 8.068
Na 0.000 1.378 5.384
Tl 4.919 1.548 2.242
Tl -1.639 3.834 6.726
Tl 1.639 1.548 2.242
Tl 3.279 0.000 4.484
Tl 1.640 3.834 6.726
Tl 0.000 0.000 0.000
```

Values from the calculation:
Spin magnetization: 0.0 Bohr magnetons per cell
DOS at the Fermi energy: 0.494 states/eV/atom



<B> (3.7 kJ/mol of atoms below the next structure)



<A>
DFT (PBE-GGA) results for a relaxed structure of Na7Tl3.

```
20
Lattice="6.573 0.000 0.000 0.000 10.613 0.000 0.000 -5.306 9.191" Properties=species:S:1:pos:R:3 pbc="T T T"
Na 2.661 0.000 2.323
Na 4.504 2.950 4.424
Na 4.504 5.306 0.343
Na 6.543 5.306 3.064
Na 4.504 7.662 4.424
Na 3.257 0.000 6.127
Na 1.218 0.000 8.848
Na 2.661 -3.295 8.030
Na 5.947 5.306 6.868
Na 1.218 -2.356 4.767
Na 1.218 2.356 4.767
Na 2.661 3.295 8.030
Na 5.947 2.011 1.161
Na 5.947 8.601 1.161
Tl 5.789 0.000 3.969
Tl 2.503 3.437 1.984
Tl 5.789 1.869 7.206
Tl 2.503 5.306 5.222
Tl 5.789 -1.869 7.206
Tl 2.503 7.176 1.984
```

Values from the calculation:
Spin magnetization: 0.0 Bohr magnetons per cell
DOS at the Fermi energy: 0.387 states/eV/atom



<B>
DFT (PBE-GGA) results for a relaxed structure of Na7Tl3.

```
10
Lattice="4.758 0.000 -1.281 -0.360 6.816 -1.337 -0.037 -0.275 9.343" Properties=species:S:1:pos:R:3 pbc="T T T"
Na 2.555 5.448 0.013
Na 2.768 2.039 0.806
Na -0.180 3.408 -0.668
Na 1.593 4.502 5.919
Na 1.806 1.093 6.712
Na 0.899 0.679 3.341
Na 3.462 5.862 3.384
Tl 3.654 2.536 4.095
Tl 0.000 0.000 0.000
Tl 0.708 4.005 2.631
```

Values from the calculation:
Spin magnetization: 0.0 Bohr magnetons per cell
DOS at the Fermi energy: 0.408 states/eV/atom



<B> (2.4 kJ/mol of atoms below the next structure)



<A>
DFT (PBE-GGA) results for a relaxed structure of NaTl6.

```
7
Lattice="-1.185 1.609 -4.905 4.785 -1.545 -1.663 -2.888 -7.164 -1.652" Properties=species:S:1:pos:R:3 pbc="T T T"
Tl 0.269 -6.041 -2.046
Tl -1.357 -1.092 -2.889
Tl -2.716 -4.464 -3.667
Tl -1.444 -3.582 -0.826
Tl 1.628 -2.669 -1.269
Tl 1.800 0.032 -3.284
Na 0.000 0.000 0.000
```

Values from the calculation:
Spin magnetization: 0.0 Bohr magnetons per cell
DOS at the Fermi energy: 0.396 states/eV/atom



<B>
DFT (PBE-GGA) results for a relaxed structure of NaTl6.

```
14
Lattice="6.495 0.000 0.000 0.000 6.495 0.000 0.000 0.000 10.813" Properties=species:S:1:pos:R:3 pbc="T T T"
Na 0.000 3.248 0.000
Na 3.248 0.000 0.000
Tl 3.248 3.248 1.562
Tl 1.152 4.399 6.912
Tl 2.096 1.152 6.912
Tl 4.399 1.152 3.901
Tl 0.000 0.000 1.562
Tl 2.096 5.343 3.901
Tl 5.343 2.096 6.912
Tl 3.248 3.248 9.251
Tl 5.343 4.399 3.901
Tl 4.399 5.343 6.912
Tl 1.152 2.096 3.901
Tl 0.000 0.000 9.251
```

Values from the calculation:
Spin magnetization: 0.0 Bohr magnetons per cell
DOS at the Fermi energy: 0.569 states/eV/atom



<A> (1.1 kJ/mol of atoms below the next structure)



<A>
DFT (PBE-GGA) results for a relaxed structure of Na2Tl7.

```
9
Lattice="-4.315 -0.473 -4.330 0.398 -4.243 4.407 -5.252 4.439 4.748" Properties=species:S:1:pos:R:3 pbc="T T T"
Tl -1.465 -1.360 4.496
Tl 0.000 0.000 0.000
Tl -3.389 1.557 4.660
Tl -4.967 2.819 1.735
Tl -4.600 1.147 -1.316
Tl -6.127 -0.160 3.236
Tl -3.041 -0.117 1.590
Na -1.173 -2.986 1.495
Na -2.744 -1.730 -1.417
```

Values from the calculation:
Spin magnetization: 0.0 Bohr magnetons per cell
DOS at the Fermi energy: 0.561 states/eV/atom



<B>
DFT (PBE-GGA) results for a relaxed structure of Na2Tl7.

```
18
Lattice="-6.144 0.414 -2.204 -4.524 -4.224 2.113 -7.260 8.808 12.184" Properties=species:S:1:pos:R:3 pbc="T T T"
Na -11.238 -2.258 1.790
Na -12.333 0.722 5.402
Na -5.594 4.276 6.691
Na -6.689 7.256 10.303
Tl -7.753 -0.796 2.052
Tl -5.334 -1.905 -0.046
Tl -4.185 0.443 2.046
Tl -13.742 4.555 10.047
Tl -2.262 -2.112 1.057
Tl -6.570 1.546 4.125
Tl -8.236 3.242 9.088
Tl -8.868 -0.600 5.198
Tl -9.059 5.598 6.894
Tl -10.175 5.795 10.040
Tl -11.358 3.452 7.968
Tl -8.964 2.499 6.046
Tl -9.691 1.756 3.005
Tl -3.072 0.207 -1.102
```

Values from the calculation:
Spin magnetization: 0.0 Bohr magnetons per cell
DOS at the Fermi energy: 0.518 states/eV/atom



<A> (5.6 kJ/mol of atoms below the next structure)